# 1
The following is a DFT calculation (PBE) of a geometry-optimized Li3Cd2In8 structure.

- uncorrected energy (eV per cell) = -29.52
- ρ (g/cm3) = 5.7
- space-group type = R-3m (166)

a b c (Å): 11.167 11.167 11.167
angles (deg): 31.59 31.59 31.59
Element x y z (fractional)
1 Li 0.000 0.000 0.000
2 Li 0.187 0.187 0.187
3 Li 0.813 0.813 0.813
4 Cd 0.365 0.365 0.365
5 Cd 0.635 0.635 0.635
6 In 0.220 0.722 0.722
7 In 0.276 0.276 0.276
8 In 0.278 0.278 0.780
9 In 0.278 0.780 0.278
10 In 0.722 0.220 0.722
11 In 0.722 0.722 0.220
12 In 0.724 0.724 0.724
13 In 0.780 0.278 0.278

# 2
The following is a DFT calculation (PBE) of a geometry-optimized Tb6CeNd8 structure.

- uncorrected energy (eV per cell) = -69.98
- ρ (g/cm3) = 7.3
- space-group type = R-3 (148)

a b c (Å): 8.763 8.763 8.763
angles (deg): 63.09 63.09 63.09
Element x y z (fractional)
1 Tb 0.039 0.744 0.597
2 Tb 0.256 0.403 0.961
3 Tb 0.403 0.961 0.256
4 Tb 0.597 0.039 0.744
5 Tb 0.744 0.597 0.039
6 Tb 0.961 0.256 0.403
7 Ce 0.500 0.500 0.500
8 Nd 0.078 0.078 0.078
9 Nd 0.215 0.257 0.615
10 Nd 0.257 0.615 0.215
11 Nd 0.385 0.785 0.743
12 Nd 0.615 0.215 0.257
13 Nd 0.743 0.385 0.785
14 Nd 0.785 0.743 0.385
15 Nd 0.922 0.922 0.922

# 3
The following is a DFT calculation (PBE) of a geometry-optimized CaLaBiN structure.

- uncorrected energy (eV per cell) = -45.94
- ρ (g/cm3) = 6.3
- space-group type = P4/nmm (129)
- formation energy from raw total energies (eV per atom) = -0.958

a b c (Å): 4.826 4.826 9.080
angles (deg): 90.00 90.00 90.00
Element x y z (fractional)
1 Ca 0.250 0.750 0.000
2 Ca 0.750 0.250 0.000
3 La 0.250 0.250 0.315
4 La 0.750 0.750 0.685
5 Bi 0.250 0.250 0.702
6 Bi 0.750 0.750 0.298
7 N 0.250 0.250 0.080
8 N 0.750 0.750 0.920

# 4
The following is a DFT calculation (PBE) of a geometry-optimized AgSnPb2S4 structure.

- uncorrected energy (eV per cell) = -65.96
- ρ (g/cm3) = 6.5
- space-group type = Cmcm (63)
- formation energy from raw total energies (eV per atom) = -0.275

a b c (Å): 7.290 7.290 14.557
angles (deg): 90.00 90.00 149.47
Element x y z (fractional)
1 Ag 0.155 0.845 0.750
2 Ag 0.845 0.155 0.250
3 Sn 0.120 0.880 0.250
4 Sn 0.880 0.120 0.750
5 Pb 0.371 0.629 0.057
6 Pb 0.371 0.629 0.443
7 Pb 0.629 0.371 0.557
8 Pb 0.629 0.371 0.943
9 S 0.000 0.000 0.000
10 S 0.000 0.000 0.500
11 S 0.295 0.705 0.633
12 S 0.295 0.705 0.867
13 S 0.467 0.533 0.250
14 S 0.533 0.467 0.750
15 S 0.705 0.295 0.133
16 S 0.705 0.295 0.367

# 5
The following is a DFT calculation (PBE) of a geometry-optimized PrEr2Si2 structure.

- uncorrected energy (eV per cell) = -54.34
- ρ (g/cm3) = 6.7
- space-group type = P2_1/m (11)
- formation energy from raw total energies (eV per atom) = -0.484

a b c (Å): 5.553 4.216 11.290
angles (deg): 90.00 98.06 90.00
Element x y z (fractional)
1 Pr 0.081 0.250 0.278
2 Pr 0.919 0.750 0.722
3 Er 0.246 0.250 0.955
4 Er 0.408 0.250 0.624
5 Er 0.592 0.750 0.376
6 Er 0.754 0.750 0.045
7 Si 0.125 0.750 0.480
8 Si 0.277 0.750 0.128
9 Si 0.723 0.250 0.872
10 Si 0.875 0.250 0.520

# 6
The following is a DFT calculation (PBE) of a geometry-optimized CaBSbTe2 structure.

- uncorrected energy (eV per cell) = -13.05
- ρ (g/cm3) = 3.7
- space-group type = P4/mmm (123)
- formation energy from raw total energies (eV per atom) = 1.207

a b c (Å): 5.806 5.806 5.766
angles (deg): 90.00 90.00 90.00
Element x y z (fractional)
1 Ca 0.000 0.000 0.000
2 B 0.500 0.500 0.500
3 Sb 0.000 0.000 0.500
4 Te 0.000 0.500 0.000
5 Te 0.500 0.000 0.000

# 7
The following is a DFT calculation (PBE) of a geometry-optimized Hf2CdTePb structure.

- uncorrected energy (eV per cell) = -21.37
- ρ (g/cm3) = 7.7
- space-group type = P4/mmm (123)
- formation energy from raw total energies (eV per atom) = 1.260

a b c (Å): 5.446 5.446 5.815
angles (deg): 90.00 90.00 90.00
Element x y z (fractional)
1 Hf 0.000 0.500 0.000
2 Hf 0.500 0.000 0.000
3 Cd 0.000 0.000 0.500
4 Te 0.500 0.500 0.500
5 Pb 0.500 0.500 0.000

# 8
The following is a DFT calculation (PBE) of a geometry-optimized Tb2SmThHg4 structure.

- uncorrected energy (eV per cell) = -25.77
- ρ (g/cm3) = 11.6
- space-group type = R-3m (166)

a b c (Å): 9.265 9.265 9.265
angles (deg): 33.50 33.50 33.50
Element x y z (fractional)
1 Tb 0.249 0.249 0.249
2 Tb 0.751 0.751 0.751
3 Sm 0.000 0.000 0.000
4 Th 0.500 0.500 0.500
5 Hg 0.123 0.123 0.123
6 Hg 0.373 0.373 0.373
7 Hg 0.627 0.627 0.627
8 Hg 0.877 0.877 0.877

# 9
The following is a DFT calculation (PBE) of a geometry-optimized BaFe2Os structure.

- uncorrected energy (eV per cell) = -24.99
- ρ (g/cm3) = 10.0
- space-group type = F-43m (216)

a b c (Å): 4.697 4.697 4.697
angles (deg): 60.00 60.00 60.00
Element x y z (fractional)
1 Ba 0.000 0.000 0.000
2 Fe 0.250 0.250 0.250
3 Fe 0.500 0.500 0.500
4 Os 0.750 0.750 0.750

# 10
The following is a DFT calculation (PBE) of a geometry-optimized RbTlB2Pd structure.

- uncorrected energy (eV per cell) = -9.40
- ρ (g/cm3) = 4.8
- space-group type = P4/mmm (123)

a b c (Å): 5.183 5.183 5.396
angles (deg): 90.00 90.00 90.00
Element x y z (fractional)
1 Rb 0.000 0.000 0.000
2 Tl 0.500 0.500 0.500
3 B 0.000 0.500 0.000
4 B 0.500 0.000 0.000
5 Pd 0.000 0.000 0.500

# 11
The following is a DFT calculation (PBE) of a geometry-optimized Re3BiSb structure.

- uncorrected energy (eV per cell) = -33.61
- ρ (g/cm3) = 12.5
- space-group type = Pm-3m (221)
- formation energy from raw total energies (eV per atom) = 2.347

a b c (Å): 4.909 4.909 4.909
angles (deg): 90.00 90.00 90.00
Element x y z (fractional)
1 Re 0.000 0.000 0.500
2 Re 0.000 0.500 0.000
3 Re 0.500 0.000 0.000
4 Bi 0.500 0.500 0.500
5 Sb 0.000 0.000 0.000

# 12
The following is a DFT calculation (PBE) of a geometry-optimized Pu2Zn2Ni15 structure.

- uncorrected energy (eV per cell) = -120.66
- ρ (g/cm3) = 10.2
- space-group type = R-3m (166)

a b c (Å): 6.299 6.299 6.299
angles (deg): 82.74 82.74 82.74
Element x y z (fractional)
1 Pu 0.153 0.153 0.153
2 Pu 0.847 0.847 0.847
3 Zn 0.400 0.400 0.400
4 Zn 0.600 0.600 0.600
5 Ni 0.000 0.500 0.500
6 Ni 0.154 0.154 0.656
7 Ni 0.154 0.656 0.154
8 Ni 0.198 0.500 0.802
9 Ni 0.198 0.802 0.500
10 Ni 0.344 0.846 0.846
11 Ni 0.500 0.000 0.500
12 Ni 0.500 0.198 0.802
13 Ni 0.500 0.500 0.000
14 Ni 0.500 0.802 0.198
15 Ni 0.656 0.154 0.154
16 Ni 0.802 0.198 0.500
17 Ni 0.802 0.500 0.198
18 Ni 0.846 0.344 0.846
19 Ni 0.846 0.846 0.344

Question: Number 8 is which compound?
Answer: Tb2SmThHg4